## one
Density functional theory data (GGA-PBE) for crystalline RbNb2Pd at its relaxed geometry.

## Properties
**Calculated density**: 6.00 g/cm³

```
data_RbNb2Pd
_chemical_formula_sum 'Rb4 Nb8 Pd4'
_space_group_name_H-M_alt 'I -4 2 d'
_space_group_IT_number 122
_space_group_name_Hall 'I -4 2bw'
_cell_length_a 4.4748
_cell_length_b 4.4748
_cell_length_c 20.8764
_cell_angle_alpha 90.00
_cell_angle_beta 90.00
_cell_angle_gamma 90.00
loop_
_atom_site_label
_atom_site_type_symbol
_atom_site_fract_x
_atom_site_fract_y
_atom_site_fract_z
Rb1 Rb 0.0000 0.0000 0.0000
Nb1 Nb 0.1122 0.2500 0.6250
Pd1 Pd 0.0000 0.0000 0.5000
```

***

## two
Density functional theory data (GGA-PBE) for crystalline RbNb2Pd at its relaxed geometry.

## Properties
**Calculated density**: 8.07 g/cm³

```
data_RbNb2Pd
_chemical_formula_sum 'Rb4 Nb8 Pd4'
_space_group_name_H-M_alt 'F m -3 m'
_space_group_IT_number 225
_space_group_name_Hall '-F 4 2 3'
_cell_length_a 6.7754
_cell_length_b 6.7754
_cell_length_c 6.7754
_cell_angle_alpha 90.00
_cell_angle_beta 90.00
_cell_angle_gamma 90.00
loop_
_atom_site_label
_atom_site_type_symbol
_atom_site_fract_x
_atom_site_fract_y
_atom_site_fract_z
Rb1 Rb 0.0000 0.0000 0.0000
Nb1 Nb 0.2500 0.2500 0.2500
Pd1 Pd 0.0000 0.0000 0.5000
```

***

Stability check: which of them is least stable? two.